First-principles (PBE) data for a geometry-optimized V2PtI structure, as listed in the Alexandria database.

Structure (POSCAR):
```
V2PtI
1.0
0.000 3.197 3.197
3.197 0.000 3.197
3.197 3.197 0.000
I V Pt
1 2 1
Direct
0.000 0.000 0.000 I
0.250 0.250 0.250 V
0.750 0.750 0.750 V
0.500 0.500 0.500 Pt
```

ρ = 10.77 Mg/m³
SG = Fm-3m
excess energy over the best structure of this formula in the dataset = 0.0 meV per atom
DOS(E_F) = 3.84 states/eV/cell

First-principles (PBE) data for a geometry-optimized YVPt2I structure, as listed in the Alexandria database.

Structure (POSCAR):
```
YVPt2I
1.0
5.084 0.000 0.000
0.000 6.061 0.000
0.000 0.000 5.084
V Pt Y I
1 2 1 1
Direct
0.000 0.500 0.000 V
0.000 0.000 0.500 Pt
0.500 0.000 0.000 Pt
0.000 0.000 0.000 Y
0.500 0.500 0.500 I
```

ρ = 6.96 Mg/m³
SG = P4/mmm
DOS(E_F) = 7.73 states/eV/cell

Number 1: ΔE_f (raw) 0.3786 eV/atom. Number 2: ΔE_f (raw) 1.0895 eV/atom.